Density functional theory data (GGA-PBE) for LuNbSn after structural relaxation.

Lattice parameters (Å, degrees): 4.7847 4.7847 4.7847 60.00 60.00 60.00
Closest atoms and distances in Å follow each position.
Element x y z (fractional)
1 Sn 0.0000 0.0000 0.0000  4 Nb 2.93, 4 Lu 2.93
2 Lu 0.2500 0.2500 0.2500  4 Sn 2.93
3 Nb 0.7500 0.7500 0.7500  4 Sn 2.93

Computed properties:
**Mass density**: 8.29 g/cm3
**E**: -6.009 eV/atom